i | ! meta-GGA SCAN PAu, single point on PBEsol structure; values from VASP
&SYSTEM
  ibrav = 0, nat = 4, ntyp = 2
/
ATOMIC_SPECIES
Au 196.97 Au.upf
P 30.97 P.upf
CELL_PARAMETERS angstrom
3.943 0.000 0.000
0.000 3.943 0.000
-1.971 -1.971 4.178
ATOMIC_POSITIONS crystal
Au 0.250 0.750 0.500
Au 0.000 0.000 0.000
P 0.750 0.250 0.500
P 0.500 0.500 0.000
! - total magnetic moment (μB/f.u.) = 0.0
! - symmetry = I4_1/amd



ii | ! meta-GGA SCAN PAu, single point on PBEsol structure; values from VASP
&SYSTEM
  ibrav = 0, nat = 4, ntyp = 2
/
ATOMIC_SPECIES
P 30.97 P.upf
Au 196.97 Au.upf
CELL_PARAMETERS angstrom
-1.090 -1.982 -2.325
2.697 -4.766 0.536
-2.344 -4.302 2.504
ATOMIC_POSITIONS crystal
P 0.750 0.864 0.636
P 0.250 0.136 0.364
Au 0.000 0.500 0.500
Au 0.500 0.000 0.000
! - total magnetic moment (μB/f.u.) = 0.0
! - symmetry = Imma



iii | ! meta-GGA SCAN PAu, single point on PBEsol structure; values from VASP
&SYSTEM
  ibrav = 0, nat = 2, ntyp = 2
/
ATOMIC_SPECIES
P 30.97 P.upf
Au 196.97 Au.upf
CELL_PARAMETERS angstrom
-3.402 0.404 1.822
-1.081 -2.584 2.686
-0.087 1.015 3.744
ATOMIC_POSITIONS crystal
P 0.250 0.250 0.250
Au 0.000 0.000 0.000
! - total magnetic moment (μB/f.u.) = 0.0
! - symmetry = F-43m



iv | ! meta-GGA SCAN PAu, single point on PBEsol structure; values from VASP
&SYSTEM
  ibrav = 0, nat = 4, ntyp = 2
/
ATOMIC_SPECIES
Au 196.97 Au.upf
P 30.97 P.upf
CELL_PARAMETERS angstrom
2.717 0.000 0.000
0.000 2.717 0.000
0.000 0.000 8.988
ATOMIC_POSITIONS crystal
Au 0.500 0.000 0.629
Au 0.000 0.500 0.371
P 0.500 0.000 0.145
P 0.000 0.500 0.855
! - total magnetic moment (μB/f.u.) = 0.0
! - symmetry = P4/nmm



List of relative energies, unit kJ/mol of atoms: i 78.3; ii 0.0; iii 32.9; iv 70.0